No. 1
Be2FeTc2: optimized geometry, GGA-PBEsol.

a b c (Å): 3.105 5.832 5.832
angles (deg): 90.00 90.00 90.00
Site moments in Bohr magnetons follow the coordinates.
Atoms (fractional coordinates):
1 Be 0.000 0.622 0.122  -0.02
2 Tc 0.500 0.822 0.322  0.14
3 Fe 0.000 0.500 0.500  2.03
4 Tc 0.500 0.678 0.822  0.14
5 Fe 0.000 0.000 0.000  2.03
6 Be 0.000 0.878 0.622  -0.02
7 Be 0.000 0.378 0.878  -0.02
8 Tc 0.500 0.322 0.178  0.14
9 Tc 0.500 0.178 0.678  0.14
10 Be 0.000 0.122 0.378  -0.02

Values from the calculation:
Magnetic moment ... 4.62 μB/cell
Total DFT energy (no corrections) ... -40.38 eV per formula unit
Energy relative to the elements ... -0.883 eV/f.u.

No. 2
InNi4Pt: optimized geometry, GGA-PBEsol.

a b c (Å): 4.728 4.728 4.728
angles (deg): 60.00 60.00 60.00
Atoms (fractional coordinates):
1 Ni 0.376 0.376 0.376
2 Ni 0.376 0.376 0.873
3 Ni 0.873 0.376 0.376
4 Pt 0.750 0.750 0.750
5 In 0.000 0.000 0.000
6 Ni 0.376 0.873 0.376

Values from the calculation:
Magnetic moment ... 0.00 μB/cell
Total DFT energy (no corrections) ... -35.09 eV per formula unit
Energy relative to the elements ... -0.512 eV/f.u.

No. 3
Na2Y2B2O7: optimized geometry, GGA-PBEsol.

a b c (Å): 6.201 10.180 10.552
angles (deg): 117.70 90.00 90.00
Atoms (fractional coordinates):
1 O 0.854 0.335 0.368
2 Na 0.943 0.739 0.476
3 O 0.126 0.904 0.027
4 Na 0.557 0.239 0.476
5 O 0.354 0.165 0.632
6 Na 0.269 0.950 0.388
7 O 0.165 0.944 0.602
8 Y 0.418 0.414 0.818
9 O 0.260 0.728 0.148
10 O 0.765 0.865 0.166
11 O 0.646 0.835 0.368
12 Y 0.961 0.683 0.984
13 B 0.248 0.582 0.685
14 O 0.240 0.228 0.148
15 O 0.544 0.085 0.148
16 Y 0.918 0.086 0.182
17 Na 0.769 0.550 0.612
18 O 0.874 0.096 0.973
19 O 0.235 0.135 0.834
20 O 0.335 0.444 0.602
21 B 0.346 0.147 0.206
22 B 0.252 0.082 0.685
23 B 0.752 0.418 0.315
24 O 0.456 0.915 0.852
25 O 0.374 0.404 0.027
26 Y 0.039 0.317 0.016
27 O 0.740 0.272 0.852
28 O 0.265 0.635 0.834
29 O 0.252 0.133 0.316
30 Y 0.461 0.817 0.016
31 O 0.752 0.367 0.684
32 Y 0.539 0.183 0.984
33 O 0.248 0.633 0.316
34 O 0.748 0.867 0.684
35 O 0.146 0.665 0.632
36 Na 0.231 0.450 0.388
37 B 0.846 0.353 0.794
38 O 0.956 0.585 0.148
39 O 0.626 0.596 0.973
40 B 0.748 0.918 0.315
41 O 0.044 0.415 0.852
42 Na 0.443 0.761 0.524
43 O 0.835 0.056 0.398
44 B 0.154 0.647 0.206
45 Y 0.082 0.914 0.818
46 O 0.735 0.365 0.166
47 B 0.654 0.853 0.794
48 O 0.665 0.556 0.398
49 Na 0.731 0.050 0.612
50 Na 0.057 0.261 0.524
51 Y 0.582 0.586 0.182
52 O 0.760 0.772 0.852

Values from the calculation:
Magnetic moment ... 0.00 μB/cell
Total DFT energy (no corrections) ... -103.94 eV per formula unit

No. 4
HfNbZnW2: optimized geometry, GGA-PBEsol.

a b c (Å): 4.552 4.552 4.655
angles (deg): 90.00 90.00 90.00
Atoms (fractional coordinates):
1 W 0.500 0.000 0.000
2 Hf 0.000 0.000 0.500
3 Nb 0.500 0.500 0.500
4 Zn 0.000 0.000 0.000
5 W 0.000 0.500 0.000

Values from the calculation:
Magnetic moment ... 0.00 μB/cell
Total DFT energy (no corrections) ... -42.82 eV per formula unit
Energy relative to the elements ... 7.702 eV/f.u.

No. 5
RbInPd2C: optimized geometry, GGA-PBEsol.

a b c (Å): 4.600 5.073 5.073
angles (deg): 90.00 90.00 90.00
Site moments in Bohr magnetons follow the coordinates.
Atoms (fractional coordinates):
1 Pd 0.000 0.000 0.500  0.10
2 In 0.500 0.500 0.500  0.01
3 Pd 0.000 0.500 0.000  0.10
4 Rb 0.000 0.000 0.000  0.05
5 C 0.500 0.000 0.000  0.72

Values from the calculation:
Magnetic moment ... 1.65 μB/cell
Total DFT energy (no corrections) ... -14.16 eV per formula unit
Energy relative to the elements ... 11.412 eV/f.u.

No. 6
La5Al15Cu2Au3: optimized geometry, GGA-PBEsol.

a b c (Å): 4.319 4.319 26.897
angles (deg): 94.60 94.60 89.95
Atoms (fractional coordinates):
1 Al 0.919 0.919 0.840
2 Al 0.119 0.119 0.239
3 Al 0.251 0.752 0.503
4 Au 0.277 0.277 0.553
5 Al 0.752 0.251 0.503
6 La 0.402 0.402 0.805
7 Al 0.853 0.353 0.707
8 Cu 0.875 0.875 0.750
9 La 0.202 0.202 0.405
10 Al 0.353 0.853 0.707
11 Al 0.721 0.721 0.442
12 Al 0.952 0.450 0.902
13 Al 0.322 0.322 0.646
14 Al 0.517 0.517 0.034
15 Al 0.047 0.549 0.096
16 Al 0.649 0.151 0.299
17 Al 0.450 0.952 0.902
18 Au 0.676 0.676 0.349
19 La 0.600 0.600 0.202
20 Cu 0.474 0.474 0.945
21 Au 0.074 0.074 0.146
22 Al 0.549 0.047 0.096
23 La 0.999 0.999 0.000
24 Al 0.151 0.649 0.299
25 La 0.804 0.804 0.608

Values from the calculation:
Magnetic moment ... 0.00 μB/cell
Total DFT energy (no corrections) ... -123.25 eV per formula unit
Energy relative to the elements ... -14.709 eV/f.u.

No. 7
Ca2CrSeBr: optimized geometry, GGA-PBEsol.

a b c (Å): 5.424 5.424 5.478
angles (deg): 90.00 90.00 90.00
Site moments in Bohr magnetons follow the coordinates.
Atoms (fractional coordinates):
1 Ca 0.000 0.500 0.000  0.05
2 Se 0.000 0.000 0.500  0.01
3 Br 0.000 0.000 0.000  0.01
4 Ca 0.500 0.000 0.000  0.05
5 Cr 0.500 0.500 0.500  4.23

Values from the calculation:
Magnetic moment ... 5.54 μB/cell
Total DFT energy (no corrections) ... -19.26 eV per formula unit

No. 8
CrTc2Ag: optimized geometry, GGA-PBEsol.

a b c (Å): 2.687 2.687 9.086
angles (deg): 81.50 81.50 60.00
Atoms (fractional coordinates):
1 Ag 0.500 0.500 0.500
2 Cr 0.000 0.000 0.000
3 Tc 0.258 0.258 0.225
4 Tc 0.742 0.742 0.775

Values from the calculation:
Magnetic moment ... 0.00 μB/cell
Total DFT energy (no corrections) ... -34.92 eV per formula unit
Energy relative to the elements ... 1.162 eV/f.u.

No. 9
CdTc2W: optimized geometry, GGA-PBEsol.

a b c (Å): 2.782 2.782 8.078
angles (deg): 90.00 90.00 90.00
Atoms (fractional coordinates):
1 Tc 0.500 0.500 0.236
2 Cd 0.500 0.500 0.758
3 Tc 0.000 0.000 0.028
4 W 0.000 0.000 0.478

Values from the calculation:
Magnetic moment ... 0.00 μB/cell
Total DFT energy (no corrections) ... -36.33 eV per formula unit
Energy relative to the elements ... 1.212 eV/f.u.

No. 10
Ir2OsRu: optimized geometry, GGA-PBEsol.

a b c (Å): 2.691 4.670 4.669
angles (deg): 99.52 106.75 90.00
Atoms (fractional coordinates):
1 Ir 0.248 0.746 0.497
2 Ru 0.751 0.252 0.502
3 Ir 0.001 0.004 0.002
4 Os 0.499 0.499 0.999

Values from the calculation:
Magnetic moment ... 0.00 μB/cell
Total DFT energy (no corrections) ... -42.00 eV per formula unit
Energy relative to the elements ... 0.038 eV/f.u.

No. 11
AlZn2Os: optimized geometry, GGA-PBEsol.

a b c (Å): 3.695 3.695 3.983
angles (deg): 90.00 90.00 90.00
Atoms (fractional coordinates):
1 Zn 0.000 0.500 0.000
2 Os 0.000 0.000 0.500
3 Al 0.500 0.500 0.500
4 Zn 0.500 0.000 0.000

Values from the calculation:
Magnetic moment ... 0.00 μB/cell
Total DFT energy (no corrections) ... -19.58 eV per formula unit
Energy relative to the elements ... -0.108 eV/f.u.

No. 12
BiSbO3: optimized geometry, GGA-PBEsol.

a b c (Å): 4.161 4.161 4.161
angles (deg): 90.00 90.00 90.00
Atoms (fractional coordinates):
1 O 0.500 0.000 0.000
2 Bi 0.500 0.500 0.500
3 O 0.000 0.000 0.500
4 Sb 0.000 0.000 0.000
5 O 0.000 0.500 0.000

Values from the calculation:
Magnetic moment ... 0.00 μB/cell
Total DFT energy (no corrections) ... -28.72 eV per formula unit

No. 13
AgTe3Pd: optimized geometry, GGA-PBEsol.

a b c (Å): 5.218 5.218 5.218
angles (deg): 90.00 90.00 90.00
Atoms (fractional coordinates):
1 Te 0.500 0.000 0.000
2 Te 0.000 0.500 0.000
3 Pd 0.000 0.000 0.000
4 Te 0.000 0.000 0.500
5 Ag 0.500 0.500 0.500

Values from the calculation:
Magnetic moment ... 0.00 μB/cell
Total DFT energy (no corrections) ... -17.50 eV per formula unit

No. 14
Y3Ho: optimized geometry, GGA-PBEsol.

a b c (Å): 5.554 7.139 7.139
angles (deg): 120.00 90.00 90.00
Atoms (fractional coordinates):
1 Ho 0.750 0.333 0.667
2 Y 0.250 0.167 0.335
3 Y 0.750 0.833 0.665
4 Y 0.250 0.167 0.833
5 Ho 0.250 0.667 0.333
6 Y 0.750 0.335 0.167
7 Y 0.750 0.833 0.167
8 Y 0.250 0.665 0.833

Values from the calculation:
Magnetic moment ... 0.00 μB/cell
Total DFT energy (no corrections) ... -25.39 eV per formula unit
Energy relative to the elements ... 0.029 eV/f.u.

No. 15
Zr2CdOs: optimized geometry, GGA-PBEsol.

a b c (Å): 3.329 3.329 6.847
angles (deg): 90.00 90.00 90.00
Atoms (fractional coordinates):
1 Zr 0.500 0.500 0.242
2 Zr 0.000 0.000 0.967
3 Os 0.500 0.500 0.769
4 Cd 0.000 0.000 0.522

Values from the calculation:
Magnetic moment ... 0.00 μB/cell
Total DFT energy (no corrections) ... -31.71 eV per formula unit
Energy relative to the elements ... -0.121 eV/f.u.

No. 16
CsNaTl2: optimized geometry, GGA-PBEsol.

a b c (Å): 5.852 5.852 5.852
angles (deg): 60.00 60.00 60.00
Atoms (fractional coordinates):
1 Tl 0.250 0.250 0.250
2 Cs 0.500 0.500 0.500
3 Tl 0.750 0.750 0.750
4 Na 0.000 0.000 0.000

Values from the calculation:
Magnetic moment ... 0.00 μB/cell
Total DFT energy (no corrections) ... -7.29 eV per formula unit
Energy relative to the elements ... 0.311 eV/f.u.

No. 17
Na2Tl2Pt: optimized geometry, GGA-PBEsol.

a b c (Å): 5.061 7.080 7.080
angles (deg): 90.00 90.00 90.00
Atoms (fractional coordinates):
1 Na 0.500 0.325 0.175
2 Pt 0.000 0.000 0.000
3 Tl 0.000 0.850 0.650
4 Tl 0.000 0.350 0.850
5 Na 0.500 0.825 0.325
6 Tl 0.000 0.650 0.150
7 Na 0.500 0.175 0.675
8 Tl 0.000 0.150 0.350
9 Na 0.500 0.675 0.825
10 Pt 0.000 0.500 0.500

Values from the calculation:
Magnetic moment ... 0.00 μB/cell
Total DFT energy (no corrections) ... -15.32 eV per formula unit
Energy relative to the elements ... -0.300 eV/f.u.

No. 18
La2BeCr: optimized geometry, GGA-PBEsol.

a b c (Å): 4.038 4.038 7.278
angles (deg): 73.89 73.89 60.00
Site moments in Bohr magnetons follow the coordinates.
Atoms (fractional coordinates):
1 Be 0.543 0.543 0.371  -0.08
2 La 0.782 0.782 0.653  -0.07
3 La 0.968 0.968 0.095  -0.07
4 Cr 0.206 0.206 0.381  2.50

Values from the calculation:
Magnetic moment ... 2.13 μB/cell
Total DFT energy (no corrections) ... -23.55 eV per formula unit
Energy relative to the elements ... 1.387 eV/f.u.

No. 19
YMn3Ir: optimized geometry, GGA-PBEsol.

a b c (Å): 4.709 4.709 4.709
angles (deg): 90.00 90.00 90.00
Site moments in Bohr magnetons follow the coordinates.
Atoms (fractional coordinates):
1 Mn 0.500 0.000 0.000  3.63
2 Ir 0.000 0.000 0.000  0.25
3 Mn 0.000 0.500 0.000  3.63
4 Mn 0.000 0.000 0.500  3.63
5 Y 0.500 0.500 0.500  -0.28

Values from the calculation:
Magnetic moment ... 11.15 μB/cell
Total DFT energy (no corrections) ... -42.12 eV per formula unit
Energy relative to the elements ... 3.810 eV/f.u.

No. 20
La2ZrCr: optimized geometry, GGA-PBEsol.

a b c (Å): 3.689 5.300 6.102
angles (deg): 115.72 107.60 90.00
Site moments in Bohr magnetons follow the coordinates.
Atoms (fractional coordinates):
1 La 0.976 0.976 0.952  -0.06
2 Zr 0.543 0.543 0.085  -0.30
3 La 0.753 0.253 0.506  -0.09
4 Cr 0.228 0.728 0.456  2.71

Values from the calculation:
Magnetic moment ... 2.25 μB/cell
Total DFT energy (no corrections) ... -28.46 eV per formula unit
Energy relative to the elements ... 1.564 eV/f.u.